{"formula": "PaPb2F8", "functional": "PBE", "state": "optimized geometry", "cell": [[7.444, -2.070, 0.000], [7.444, 2.070, 0.000], [-2.043, 0.000, 5.547]], "species": ["Pa", "Pb", "Pb", "F", "F", "F", "F", "F", "F", "F", "F"], "frac_coords": [[0.000, 0.000, 0.000], [0.318, 0.318, 0.326], [0.682, 0.682, 0.674], [0.090, 0.090, 0.392], [0.148, 0.148, 0.963], [0.279, 0.279, 0.685], [0.478, 0.478, 0.182], [0.522, 0.522, 0.818], [0.721, 0.721, 0.315], [0.852, 0.852, 0.037], [0.910, 0.910, 0.608]], "e_form_raw_ev_per_atom": -3.031, "dos_ef_per_ev_atom": 0.41, "polymorph_energy_ev_per_atom": 0.000}